VASP calculation (PBE) on a relaxed structure of Ce4Th2Si3H2.

Unit cell a=12.6323 b=12.6323 c=12.6323 alpha=159.79 beta=159.79 gamma=28.74
Closest atoms and distances in Å follow each position.
Atoms (fractional coordinates):
Ce 0.0796 0.5796 0.5000  2 H 2.32
Ce 0.4204 0.9204 0.5000  2 H 2.32
Ce 0.5796 0.0796 0.5000  2 H 2.32
Ce 0.9204 0.4204 0.5000  2 H 2.32
Th 0.2028 0.2028 0.0000  1 H 2.33
Th 0.7972 0.7972 0.0000  1 H 2.33
Si 0.3292 0.3292 0.0000  5 Th 3.09-3.23, 4 Ce 3.15
Si 0.5000 0.5000 0.0000  8 Ce 2.95
Si 0.6708 0.6708 0.0000  5 Th 3.09-3.23, 4 Ce 3.15
H 0.1077 0.1077 0.0000  4 Ce 2.32, 1 Th 2.33
H 0.8923 0.8923 0.0000  4 Ce 2.32, 1 Th 2.33

Results
Total energy: -66.5 eV/cell
Size of the total moment: 0.00 μB/atom

=====

VASP calculation (PBE) on a relaxed structure of Pu2NpAu.

Unit cell a=3.4082 b=3.4082 c=7.6756 alpha=90.00 beta=90.00 gamma=90.00
Closest atoms and distances in Å follow each position.
Atoms (fractional coordinates):
Pu 0.0000 0.0000 0.2420  4 Np 3.04, 4 Au 3.12
Pu 0.0000 0.0000 0.7580  4 Np 3.04, 4 Au 3.12
Np 0.5000 0.5000 0.0000  8 Pu 3.04
Au 0.5000 0.5000 0.5000  8 Pu 3.12, 4 Au 3.41

Results
Polymorph energy (0 for the lowest one): 79 meV per atom
ΔE_f: 140 meV/atom
Size of the total moment: 3.25 μB/atom

=====

VASP calculation (PBE) on a relaxed structure of In5Re4.

Unit cell a=6.6135 b=6.6135 c=6.6135 alpha=96.29 beta=96.29 gamma=141.34
Closest atoms and distances in Å follow each position.
Atoms (fractional coordinates):
In 0.0000 0.0000 0.0000  8 In 3.08, 4 Re 3.19
In 0.3267 0.3267 0.6534  6 Re 2.90-3.15, 6 In 2.91-3.08
In 0.3267 0.6733 0.0000  6 Re 2.90-3.15, 6 In 2.91-3.08
In 0.6733 0.3267 0.0000  6 Re 2.90-3.15, 6 In 2.91-3.08
In 0.6733 0.6733 0.3466  6 Re 2.90-3.15, 6 In 2.91-3.08
Re 0.0000 0.3616 0.3616  1 Re 2.44
Re 0.0000 0.6384 0.6384  1 Re 2.44
Re 0.3616 0.0000 0.3616  1 Re 2.44
Re 0.6384 0.0000 0.6384  1 Re 2.44

Results
Polymorph energy (0 for the lowest one): 0 meV per atom
ΔE_f: 515 meV/atom
Size of the total moment: 0.00 μB/atom

=====

VASP calculation (PBE) on a relaxed structure of NaPm2I6.

Unit cell a=8.9123 b=8.9123 c=8.9123 alpha=51.18 beta=51.18 gamma=51.18
Closest atoms and distances in Å follow each position.
Atoms (fractional coordinates):
Na 0.0000 0.0000 0.0000  6 I 3.23-3.32
Pm 0.1755 0.1755 0.1755  6 I 3.14-3.15
Pm 0.5046 0.5046 0.5046  6 I 3.15
I 0.0952 0.4198 0.7659  2 Pm 3.15, 1 Na 3.32
I 0.2715 0.9168 0.5770  2 Pm 3.14-3.15, 1 Na 3.23
I 0.4198 0.7659 0.0952  2 Pm 3.15, 1 Na 3.32
I 0.5770 0.2715 0.9168  2 Pm 3.14-3.15, 1 Na 3.23
I 0.7659 0.0952 0.4198  2 Pm 3.15, 1 Na 3.32
I 0.9168 0.5770 0.2715  2 Pm 3.14-3.15, 1 Na 3.23

Results
E_form (uncorrected): -1.2924 eV/atom
Size of the total moment: 0.09 μB/atom

=====

VASP calculation (PBE) on a relaxed structure of TbZr2.

Unit cell a=3.2261 b=3.2261 c=14.7797 alpha=90.00 beta=90.00 gamma=90.00
Closest atoms and distances in Å follow each position.
Atoms (fractional coordinates):
Tb 0.0000 0.0000 0.0000  4 Tb 3.23, 8 Zr 3.46
Tb 0.5000 0.5000 0.5000  4 Tb 3.23, 8 Zr 3.46
Zr 0.0000 0.0000 0.3244  8 Zr 3.17-3.23, 4 Tb 3.46
Zr 0.0000 0.0000 0.6756  8 Zr 3.17-3.23, 4 Tb 3.46
Zr 0.5000 0.5000 0.1756  8 Zr 3.17-3.23, 4 Tb 3.46
Zr 0.5000 0.5000 0.8244  8 Zr 3.17-3.23, 4 Tb 3.46

Results
ΔE_f: 105 meV/atom
Size of the total moment: 0.00 μB/atom

=====

VASP calculation (PBE) on a relaxed structure of Na4PSe4.

Unit cell a=7.4051 b=7.4051 c=7.4051 alpha=98.13 beta=98.13 gamma=135.83
Closest atoms and distances in Å follow each position.
Atoms (fractional coordinates):
Na 0.1326 0.2945 0.4271  4 Se 2.88-2.98
Na 0.2945 0.8674 0.1618  4 Se 2.88-2.98
Na 0.7055 0.1326 0.8382  4 Se 2.88-2.98
Na 0.8674 0.7055 0.5729  4 Se 2.88-2.98
P 0.5000 0.5000 0.0000  4 Se 2.42
Se 0.2590 0.5628 0.8218  1 P 2.42
Se 0.4372 0.2590 0.6962  1 P 2.42
Se 0.5628 0.7410 0.3038  1 P 2.42
Se 0.7410 0.4372 0.1782  1 P 2.42

Results
E_form (uncorrected): -0.5349 eV/atom
Size of the total moment: 0.08 μB/atom

=====

VASP calculation (PBE) on a relaxed structure of LaLuRh.

Unit cell a=3.4815 b=3.4815 c=12.8284 alpha=90.00 beta=90.00 gamma=90.00
Closest atoms and distances in Å follow each position.
Atoms (fractional coordinates):
La 0.0000 0.0000 0.0000  4 Rh 3.12, 1 Lu 3.35, 4 La 3.48
La 0.5000 0.5000 0.5000  4 Rh 3.12, 1 Lu 3.35, 4 La 3.48
Lu 0.0000 0.0000 0.2615  4 Rh 2.85
Lu 0.5000 0.5000 0.7615  4 Rh 2.85
Rh 0.0000 0.0000 0.6496  4 Lu 2.85, 4 La 3.12
Rh 0.5000 0.5000 0.1496  4 Lu 2.85, 4 La 3.12

Results
Polymorph energy (0 for the lowest one): 0 meV per atom
ΔE_f: -538 meV/atom
Size of the total moment: 0.00 μB/atom

=====

VASP calculation (PBE) on a relaxed structure of Rb2BiAs2.

Unit cell a=7.1770 b=7.1770 c=11.3381 alpha=111.06 beta=111.06 gamma=45.47
Closest atoms and distances in Å follow each position.
Atoms (fractional coordinates):
Rb 0.1161 0.1161 0.4202  5 As 3.53-3.84, 2 Bi 3.82
Rb 0.2665 0.2665 0.8400  1 As 3.50, 2 Bi 3.74-3.79
Rb 0.7335 0.7335 0.1600  1 As 3.50, 2 Bi 3.74-3.79
Rb 0.8839 0.8839 0.5798  5 As 3.53-3.84, 2 Bi 3.82
Bi 0.4618 0.4618 0.1891  3 As 2.75-3.05
Bi 0.5382 0.5382 0.8109  3 As 2.75-3.05
As 0.0374 0.0374 0.9219  1 As 2.34
As 0.4103 0.4103 0.4018  1 As 2.55, 1 Bi 2.75
As 0.5897 0.5897 0.5982  1 As 2.55, 1 Bi 2.75
As 0.9626 0.9626 0.0781  1 As 2.34

Results
Polymorph energy (0 for the lowest one): 0 meV per atom
ΔE_f: -307 meV/atom
Size of the total moment: 0.00 μB/atom

=====

VASP calculation (PBE) on a relaxed structure of K2As.

Unit cell a=3.5977 b=5.1201 c=10.3479 alpha=90.00 beta=90.00 gamma=90.00
Closest atoms and distances in Å follow each position.
Atoms (fractional coordinates):
K 0.0000 0.0000 0.1542  1 K 3.19, 4 As 3.51
K 0.0000 0.0000 0.8458  1 K 3.19, 4 As 3.51
K 0.5000 0.5000 0.3458  1 K 3.19, 4 As 3.51
K 0.5000 0.5000 0.6542  1 K 3.19, 4 As 3.51
As 0.0000 0.0000 0.5000  10 K 3.51-3.58, 2 As 3.60
As 0.5000 0.5000 0.0000  10 K 3.51-3.58, 2 As 3.60

Results
ΔE_f: -215 meV/atom
Size of the total moment: 0.00 μB/atom

=====

VASP calculation (PBE) on a relaxed structure of LiSn2As2.

Unit cell a=7.8577 b=7.8577 c=3.7976 alpha=90.00 beta=90.00 gamma=90.00
Closest atoms and distances in Å follow each position.
Atoms (fractional coordinates):
Li 0.0000 0.0000 0.0000  4 Sn 3.02
Li 0.5000 0.5000 0.0000  4 Sn 3.02
Sn 0.1441 0.3559 0.0000  6 As 2.91-3.04, 2 Li 3.02, 1 Sn 3.20
Sn 0.3559 0.8559 0.0000  6 As 2.91-3.04, 2 Li 3.02, 1 Sn 3.20
Sn 0.6441 0.1441 0.0000  6 As 2.91-3.04, 2 Li 3.02, 1 Sn 3.20
Sn 0.8559 0.6441 0.0000  6 As 2.91-3.04, 2 Li 3.02, 1 Sn 3.20
As 0.1574 0.6574 0.5000  6 Sn 2.91-3.04
As 0.3426 0.1574 0.5000  6 Sn 2.91-3.04
As 0.6574 0.8426 0.5000  6 Sn 2.91-3.04
As 0.8426 0.3426 0.5000  6 Sn 2.91-3.04

Results
Polymorph energy (0 for the lowest one): 257 meV per atom
ΔE_f: 5 meV/atom
Size of the total moment: 0.00 μB/atom

=====

VASP calculation (PBE) on a relaxed structure of Ti3GaBi.

Unit cell a=4.7574 b=4.7574 c=4.7574 alpha=90.00 beta=90.00 gamma=90.00
Closest atoms and distances in Å follow each position.
Atoms (fractional coordinates):
Ti 0.0000 0.0000 0.5000  2 Ga 2.38
Ti 0.0000 0.5000 0.0000  2 Ga 2.38
Ti 0.5000 0.0000 0.0000  2 Ga 2.38
Ga 0.0000 0.0000 0.0000  6 Ti 2.38
Bi 0.5000 0.5000 0.5000  12 Ti 3.36

Results
Polymorph energy (0 for the lowest one): 496 meV per atom
ΔE_f: 320 meV/atom
Size of the total moment: 0.00 μB/atom

=====

VASP calculation (PBE) on a relaxed structure of Cs2TeAs2.

Unit cell a=10.0372 b=10.0372 c=4.2141 alpha=90.00 beta=90.00 gamma=90.00
Closest atoms and distances in Å follow each position.
Atoms (fractional coordinates):
Cs 0.2134 0.2866 0.0000  6 As 3.64-3.85
Cs 0.2866 0.7866 0.0000  6 As 3.64-3.85
Cs 0.7134 0.2134 0.0000  6 As 3.64-3.85
Cs 0.7866 0.7134 0.0000  6 As 3.64-3.85
Te 0.0000 0.0000 0.5000  8 Cs 4.16, 2 Te 4.21, 4 As 4.31
Te 0.5000 0.5000 0.5000  8 Cs 4.16, 2 Te 4.21, 4 As 4.31
As 0.0771 0.5771 0.5000  1 As 2.19
As 0.4229 0.0771 0.5000  1 As 2.19
As 0.5771 0.9229 0.5000  1 As 2.19
As 0.9229 0.4229 0.5000  1 As 2.19

Results
E_form (uncorrected): -0.3188 eV/atom
Size of the total moment: 0.00 μB/atom

=====

> Which value of size of the total moment does entry 10 give?

0.00 μB/atom

=====

> Among the records above, which one has the highest size of the total moment?

Pu2NpAu

=====

> Which of these has the highest size of the total moment?

Pu2NpAu

=====

> Which of these has the highest size of the total moment?

Pu2NpAu